Below is a relaxed structure of KAuC2, with properties calculated at the GGA-PBEsol level.

Properties
Mass density, g/cm3: 5.9
Size of the total moment, μB/f.u.: 0.54
Total energy, eV per atom: -4.229
Formation enthalpy at 0 K, eV per atom: 1.857
DOS(E_F), states/eV/f.u.: 3.038

abc: 5.791 5.791 5.791
angles: 114.62 114.62 99.60
Atoms (fractional coordinates):
K (0.000, 0.000, 0.000)
K (0.750, 0.250, 0.500)
Au (0.250, 0.750, 0.500)
Au (0.500, 0.500, 0.000)
C (0.242, 0.625, 0.117)
C (0.375, 0.492, 0.617)
C (0.508, 0.125, 0.883)
C (0.875, 0.758, 0.383)